No. 1
## BaCo2RhO (PBE with a Hubbard U)

Data for an optimized crystal structure of BaCo2RhO.

Geometry as CIF:
```
data_BaCo2RhO
_cell_length_a 5.504
_cell_length_b 5.504
_cell_length_c 4.332
_cell_angle_alpha 90.00
_cell_angle_beta 90.00
_cell_angle_gamma 90.00
_symmetry_space_group_name_H-M 'P 4/m m m'
_symmetry_Int_Tables_number 123
_symmetry_space_group_name_Hall '-P 4 2'
loop_
_atom_site_label
_atom_site_type_symbol
_atom_site_fract_x
_atom_site_fract_y
_atom_site_fract_z
Ba1 Ba 0.000 0.000 0.000
Co1 Co 0.000 0.500 0.000
Rh1 Rh 0.500 0.500 0.500
O1 O 0.000 0.000 0.500
```

## Properties
The density of states at the Fermi level is 8.2 states/eV/cell. For the raw total energy, the calculation gives -0.12354 Ha/atom. For the mass density, the calculation gives 4733 kg/m3.

No. 2
## V2OF5 (PBE with a Hubbard U)

Data for an optimized crystal structure of V2OF5.

Geometry as CIF:
```
data_V2OF5
_cell_length_a 9.490
_cell_length_b 5.302
_cell_length_c 17.773
_cell_angle_alpha 90.00
_cell_angle_beta 101.81
_cell_angle_gamma 90.00
_symmetry_space_group_name_H-M 'C 1 2 1'
_symmetry_Int_Tables_number 5
_symmetry_space_group_name_Hall 'C 2y'
loop_
_atom_site_label
_atom_site_type_symbol
_atom_site_fract_x
_atom_site_fract_y
_atom_site_fract_z
V1 V 0.045 0.000 0.182
V2 V 0.074 0.507 0.688
V3 V 0.188 0.973 0.565
V4 V 0.191 0.489 0.064
O1 O 0.117 0.061 0.873
O2 O 0.142 0.751 0.647
F1 F 0.000 0.401 0.000
F2 F 0.000 0.894 0.500
F3 F 0.016 0.198 0.271
F4 F 0.018 0.687 0.774
F5 F 0.104 0.264 0.607
F6 F 0.109 0.792 0.103
F7 F 0.124 0.560 0.372
F8 F 0.147 0.290 0.150
F9 F 0.227 0.190 0.479
F10 F 0.230 0.685 0.977
F11 F 0.243 0.906 0.246
```

## Properties
The density of states at the Fermi level is 0.0 states/eV/cell. For the excess energy over the best structure of this formula in the dataset, the calculation gives 0.01 eV/f.u. For the mass density, the calculation gives 3231 kg/m3.